TbPuSnRu (PBE, optimized geometry); size of the total moment = 4.89 μB/f.u.; energy of formation from the pure elements = -0.186 eV/atom; energy = -32.99 eV for the cell shown
1.0
5.086 0.000 0.000
2.543 4.405 0.000
2.543 1.468 4.153
Ru Tb Sn Pu
1 1 1 1
direct
0.750 0.750 0.750
0.000 0.000 0.000
0.250 0.250 0.250
0.500 0.500 0.500



PuTcSnRu (PBE, optimized geometry); size of the total moment = 3.52 μB/f.u.; energy of formation from the pure elements = -0.193 eV/atom; energy = -38.75 eV for the cell shown
1.0
-1.562 4.327 0.828
-4.591 0.797 0.369
-1.862 1.057 4.155
Tc Ru Sn Pu
1 1 1 1
direct
0.750 0.750 0.750
0.250 0.250 0.250
0.000 0.000 0.000
0.500 0.500 0.500



PuTh2Sn2Ru5 (PBE, optimized geometry); size of the total moment = 4.22 μB/f.u.; energy of formation from the pure elements = -0.154 eV/atom; energy = -170.20 eV for the cell shown
1.0
3.708 0.000 0.000
0.000 10.470 0.000
0.000 0.000 10.470
Pu Th Sn Ru
2 4 4 10
direct
0.000 0.000 0.000
0.000 0.500 0.500
0.000 0.669 0.169
0.000 0.331 0.831
0.000 0.169 0.331
0.000 0.831 0.669
0.000 0.128 0.628
0.000 0.872 0.372
0.000 0.628 0.872
0.000 0.372 0.128
0.500 0.200 0.061
0.500 0.800 0.939
0.500 0.061 0.800
0.500 0.700 0.439
0.500 0.939 0.200
0.500 0.300 0.561
0.500 0.561 0.700
0.500 0.439 0.300
0.500 0.500 0.000
0.500 0.000 0.500



TmPuSn4Ru2 (PBE, optimized geometry); size of the total moment = 5.70 μB/f.u.; energy of formation from the pure elements = -0.125 eV/atom; energy = -54.36 eV for the cell shown
1.0
-0.059 -0.203 4.462
3.000 -3.307 -0.110
7.474 6.768 0.407
Tm Pu Sn Ru
1 1 4 2
direct
0.000 0.000 0.500
0.000 0.000 0.000
0.000 0.500 0.235
0.500 0.000 0.765
0.500 0.000 0.235
0.000 0.500 0.765
0.500 0.500 0.386
0.500 0.500 0.614



PuUSnRu (PBE, optimized geometry); size of the total moment = 5.47 μB/f.u.; excess energy over the best structure of this formula in the dataset = 0.0000 eV per atom; energy of formation from the pure elements = -0.193 eV/atom; energy = -39.67 eV for the cell shown
1.0
3.319 0.000 0.000
0.000 5.462 -0.512
-1.660 -3.203 4.865
Pu U Sn Ru
1 1 1 1
direct
0.027 0.008 0.054
0.767 0.298 0.533
0.232 0.762 0.465
0.474 0.433 0.948



PuUSnRu (PBE, optimized geometry); size of the total moment = 8.00 μB/f.u.; excess energy over the best structure of this formula in the dataset = 0.0388 eV per atom; energy of formation from the pure elements = -0.155 eV/atom; energy = -39.52 eV for the cell shown
1.0
4.887 0.000 0.000
2.444 4.232 0.000
2.444 1.411 3.990
Ru U Sn Pu
1 1 1 1
direct
0.250 0.250 0.250
0.000 0.000 0.000
0.500 0.500 0.500
0.750 0.750 0.750



YPuSnRu (PBE, optimized geometry); size of the total moment = 4.89 μB/f.u.; energy of formation from the pure elements = -0.194 eV/atom; energy = -34.85 eV for the cell shown
1.0
-1.685 1.991 4.363
2.794 -0.407 4.226
2.260 4.110 1.958
Y Ru Sn Pu
1 1 1 1
direct
0.500 0.500 0.500
0.750 0.750 0.750
0.250 0.250 0.250
0.000 0.000 0.000



SrPuRu (PBE, optimized geometry); size of the total moment = 0.21 μB/f.u.; energy of formation from the pure elements = 0.027 eV/atom; energy = -100.83 eV for the cell shown
1.0
-2.005 1.221 -3.596
-3.307 -5.375 0.019
-5.846 8.192 8.605
Sr Pu Ru
4 4 4
direct
0.092 0.371 0.184
0.441 0.176 0.882
0.559 0.824 0.118
0.908 0.629 0.816
0.226 0.570 0.452
0.811 0.991 0.622
0.774 0.430 0.548
0.189 0.009 0.378
0.315 0.255 0.630
0.665 0.210 0.330
0.685 0.745 0.370
0.335 0.790 0.670



PuTa5Ru6 (PBE, optimized geometry); size of the total moment = 4.49 μB/f.u.; energy of formation from the pure elements = -0.263 eV/atom; energy = -132.41 eV for the cell shown
1.0
4.518 0.002 -0.687
-0.003 6.195 -0.001
-0.492 0.001 7.156
Ru Ta Pu
6 5 1
direct
0.801 0.745 0.647
0.801 0.255 0.647
0.500 0.253 0.000
0.500 0.747 0.000
0.199 0.745 0.353
0.199 0.255 0.353
0.686 0.500 0.327
0.314 0.000 0.663
0.000 0.500 0.000
0.686 0.000 0.337
0.314 0.500 0.673
0.000 0.000 0.000



PuTa4Ru5 (PBE, optimized geometry); size of the total moment = 4.88 μB/f.u.; energy of formation from the pure elements = -0.311 eV/atom; energy = -111.23 eV for the cell shown
1.0
-1.385 -2.280 1.621
2.710 -1.543 0.145
3.843 8.131 14.723
Pu Ta Ru
1 4 5
direct
0.000 0.000 0.000
0.000 0.000 0.211
0.000 0.000 0.404
0.000 0.000 0.596
0.000 0.000 0.789
0.500 0.500 0.127
0.500 0.500 0.311
0.500 0.500 0.500
0.500 0.500 0.689
0.500 0.500 0.873



PuTaTiRu (PBE, optimized geometry); size of the total moment = 4.59 μB/f.u.; energy of formation from the pure elements = 0.066 eV/atom; energy = -43.09 eV for the cell shown
1.0
4.609 0.000 0.000
2.304 3.991 0.000
2.304 1.330 3.763
Ru Ta Ti Pu
1 1 1 1
direct
0.750 0.750 0.750
0.000 0.000 0.000
0.500 0.500 0.500
0.250 0.250 0.250



TbPu3Ru2 (PBE, optimized geometry); size of the total moment = 5.04 μB/f.u.; excess energy over the best structure of this formula in the dataset = 0.0000 eV per atom; energy of formation from the pure elements = -0.079 eV/atom; energy = -133.31 eV for the cell shown
1.0
4.164 0.000 0.000
0.000 7.034 0.000
0.000 0.000 9.048
Tb Pu Ru
2 6 4
direct
0.500 0.528 0.561
0.500 0.028 0.439
0.000 0.454 0.932
0.000 0.954 0.068
0.500 0.713 0.176
0.500 0.213 0.824
0.000 0.365 0.288
0.000 0.865 0.712
0.500 0.710 0.863
0.500 0.210 0.137
0.000 0.230 0.619
0.000 0.730 0.381